# 1
This record from Alexandria describes a relaxed structure of YTh2Au4. The functional is PBE.

Structure (POSCAR):
```
YTh2Au4
1.0
5.048 0.000 -1.609
-0.513 5.022 -1.609
-0.386 -0.427 7.512
Y Th Au
1 2 4
direct
0.000 0.000 0.000 Y
0.714 0.714 0.427 Th
0.286 0.286 0.573 Th
0.388 0.888 0.776 Au
0.888 0.388 0.776 Au
0.612 0.112 0.224 Au
0.112 0.612 0.224 Au
```

Calculated values
calculated volume = 183.5 Å³/cell
calculated formation energy = -0.56 eV per atom
energy = -5.48 eV per atom


# 2
This record from Alexandria describes a relaxed structure of Np2OsPt. The functional is PBE.

Structure (POSCAR):
```
Np2OsPt
1.0
-0.374 2.958 -1.338
-3.246 -0.325 0.188
0.085 3.104 6.838
Np Os Pt
2 1 1
direct
0.000 0.000 0.759 Np
0.000 0.000 0.241 Np
0.500 0.500 0.000 Os
0.500 0.500 0.500 Pt
```

Calculated values
calculated volume = 80.2 Å³/cell
calculated formation energy = -0.14 eV per atom
energy = -10.92 eV per atom


# 3
This record from Alexandria describes a relaxed structure of Ce5Ge2As2. The functional is PBE.

Structure (POSCAR):
```
Ce5Ge2As2
1.0
7.365 0.000 2.674
0.000 7.893 0.000
1.155 0.000 8.301
Ce Ge As
10 4 4
direct
0.000 0.000 0.000 Ce
0.500 0.500 0.000 Ce
0.464 0.174 0.720 Ce
0.816 0.826 0.720 Ce
0.316 0.674 0.720 Ce
0.964 0.326 0.720 Ce
0.536 0.826 0.280 Ce
0.184 0.174 0.280 Ce
0.684 0.326 0.280 Ce
0.036 0.674 0.280 Ce
0.121 0.378 0.000 Ge
0.879 0.622 0.000 Ge
0.379 0.878 0.000 Ge
0.621 0.122 0.000 Ge
0.203 0.000 0.594 As
0.703 0.500 0.594 As
0.797 0.000 0.406 As
0.297 0.500 0.406 As
```

Calculated values
calculated volume = 458.2 Å³/cell
calculated formation energy = -0.97 eV per atom
energy = -6.32 eV per atom